1.
An optimized crystal structure of Cs2KNaAg, computed with GGA-PBE.

Properties
D(E_F)   3.8 states/eV/f.u.
Symmetry   No. 123
Formation energy from the elements   6 kJ per mole of atoms
Raw total energy   -1.33 eV/atom
Crystal system   tetragonal
Distance to the lowest polymorph of the same formula   0 meV per atom

Lattice parameters (Å, degrees): 7.353 7.353 6.144 90.00 90.00 90.00
Fractional positions:
K 0.500 0.500 0.500
Ag 0.000 0.000 0.000
Na 0.000 0.000 0.500
Cs 0.000 0.500 0.000
Cs 0.500 0.000 0.000

---

2.
An optimized crystal structure of Cs2KAgO2, computed with GGA-PBE.

Properties
Uncorrected formation energy   -0.885 eV per atom
D(E_F)   0.0 states/eV/f.u.
Symmetry   No. 58
Raw total energy   -3.48 eV/atom
Crystal system   orthorhombic

Lattice parameters (Å, degrees): 4.362 6.432 11.901 90.00 90.00 90.00
Fractional positions:
O 0.000 0.743 0.896
O 0.000 0.257 0.104
O 0.500 0.243 0.604
O 0.500 0.757 0.396
Cs 0.000 0.623 0.257
Cs 0.000 0.377 0.743
Cs 0.500 0.877 0.757
Cs 0.500 0.123 0.243
K 0.500 0.500 0.000
K 0.000 0.000 0.500
Ag 0.500 0.500 0.500
Ag 0.000 0.000 0.000

---

3.
An optimized crystal structure of Cs4K2Ag2O, computed with GGA-PBE.

Properties
Uncorrected formation energy   -0.288 eV per atom
D(E_F)   4.9 states/eV/f.u.
Symmetry   No. 12
Raw total energy   -2.10 eV/atom
Crystal system   monoclinic

Lattice parameters (Å, degrees): 7.479 8.288 8.288 60.50 78.69 78.69
Fractional positions:
Cs 0.317 0.159 0.672
Cs 0.683 0.328 0.841
Cs 0.317 0.672 0.159
Cs 0.683 0.841 0.328
Ag 0.763 0.327 0.327
Ag 0.237 0.673 0.673
K 0.788 0.844 0.844
K 0.212 0.156 0.156
O 0.500 0.000 0.000

---

4.
An optimized crystal structure of Cs6KAgO, computed with GGA-PBE.

Properties
Uncorrected formation energy   -0.307 eV per atom
D(E_F)   6.4 states/eV/f.u.
Symmetry   No. 74
Raw total energy   -1.87 eV/atom
Crystal system   orthorhombic

Lattice parameters (Å, degrees): 12.261 12.030 11.951 120.22 120.86 90.00
Fractional positions:
Cs 0.122 0.872 0.244
Cs 0.454 0.204 0.908
Cs 0.789 0.597 0.242
Cs 0.211 0.403 0.758
Cs 0.878 0.128 0.756
Cs 0.453 0.597 0.242
Cs 0.547 0.854 0.758
Cs 0.546 0.796 0.092
Cs 0.547 0.403 0.758
Cs 0.453 0.146 0.242
Cs 0.211 0.854 0.758
Cs 0.789 0.146 0.242
Ag 0.500 0.000 0.500
Ag 0.000 0.000 0.500
O 0.500 0.500 0.000
O 0.500 0.000 0.000
K 0.154 0.404 0.308
K 0.846 0.596 0.692